# CePr3Zn2 GGA-PBE relaxed
data_CePr3Zn2
_symmetry_space_group_name_H-M 'P 1'
_symmetry_Int_Tables_number 1
_cell_length_a 5.440
_cell_length_b 7.257
_cell_length_c 9.469
_cell_angle_alpha 112.47
_cell_angle_beta 106.55
_cell_angle_gamma 90.07
loop_
_symmetry_equiv_pos_as_xyz
'x,y,z'
loop_
_atom_site_label
_atom_site_type_symbol
_atom_site_fract_x
_atom_site_fract_y
_atom_site_fract_z
Ce1 Ce 0.000 0.500 0.000
Ce2 Ce 0.000 0.000 0.000
Pr1 Pr 0.500 0.250 0.000
Pr2 Pr 0.500 0.750 0.000
Pr3 Pr 0.822 0.072 0.644
Pr4 Pr 0.178 0.428 0.356
Pr5 Pr 0.178 0.928 0.356
Pr6 Pr 0.822 0.572 0.644
Zn1 Zn 0.343 0.343 0.686
Zn2 Zn 0.657 0.157 0.314
Zn3 Zn 0.343 0.843 0.686
Zn4 Zn 0.657 0.657 0.314
# * raw total energy: -3.91 eV per atom
# * symmetry: No. 2
# * offset from the most stable computed form: 62 meV/atom
# * density of states at the Fermi level: 10.25 states/eV/f.u.



# Ce3PrZn8 GGA-PBE relaxed
data_Ce3PrZn8
_symmetry_space_group_name_H-M 'P 1'
_symmetry_Int_Tables_number 1
_cell_length_a 5.672
_cell_length_b 5.672
_cell_length_c 8.554
_cell_angle_alpha 90.00
_cell_angle_beta 90.00
_cell_angle_gamma 120.00
loop_
_symmetry_equiv_pos_as_xyz
'x,y,z'
loop_
_atom_site_label
_atom_site_type_symbol
_atom_site_fract_x
_atom_site_fract_y
_atom_site_fract_z
Ce1 Ce 0.667 0.333 0.414
Ce2 Ce 0.667 0.333 0.078
Ce3 Ce 0.000 0.000 0.940
Pr1 Pr 0.000 0.000 0.569
Zn1 Zn 0.333 0.667 0.502
Zn2 Zn 0.333 0.667 0.997
Zn3 Zn 0.503 0.007 0.751
Zn4 Zn 0.503 0.497 0.751
Zn5 Zn 0.993 0.497 0.751
Zn6 Zn 0.168 0.336 0.250
Zn7 Zn 0.168 0.832 0.250
Zn8 Zn 0.664 0.832 0.250
# * raw total energy: -3.00 eV per atom
# * symmetry: No. 156
# * offset from the most stable computed form: 5 meV/atom
# * density of states at the Fermi level: 16.49 states/eV/f.u.



# CePr5Zn4 GGA-PBE relaxed
data_CePr5Zn4
_symmetry_space_group_name_H-M 'P 1'
_symmetry_Int_Tables_number 1
_cell_length_a 3.687
_cell_length_b 3.687
_cell_length_c 19.830
_cell_angle_alpha 90.00
_cell_angle_beta 90.00
_cell_angle_gamma 90.00
loop_
_symmetry_equiv_pos_as_xyz
'x,y,z'
loop_
_atom_site_label
_atom_site_type_symbol
_atom_site_fract_x
_atom_site_fract_y
_atom_site_fract_z
Ce1 Ce 0.000 0.000 0.000
Pr1 Pr 0.500 0.500 0.123
Pr2 Pr 0.500 0.500 0.312
Pr3 Pr 0.500 0.500 0.500
Pr4 Pr 0.500 0.500 0.688
Pr5 Pr 0.500 0.500 0.877
Zn1 Zn 0.000 0.000 0.216
Zn2 Zn 0.000 0.000 0.406
Zn3 Zn 0.000 0.000 0.594
Zn4 Zn 0.000 0.000 0.784
# * raw total energy: -3.71 eV per atom
# * symmetry: No. 123
# * density of states at the Fermi level: 13.02 states/eV/f.u.



# Ce3PrZn8 GGA-PBE relaxed
data_Ce3PrZn8
_symmetry_space_group_name_H-M 'P 1'
_symmetry_Int_Tables_number 1
_cell_length_a 5.536
_cell_length_b 5.536
_cell_length_c 9.560
_cell_angle_alpha 73.17
_cell_angle_beta 73.17
_cell_angle_gamma 60.00
loop_
_symmetry_equiv_pos_as_xyz
'x,y,z'
loop_
_atom_site_label
_atom_site_type_symbol
_atom_site_fract_x
_atom_site_fract_y
_atom_site_fract_z
Ce1 Ce 0.376 0.376 0.873
Ce2 Ce 0.002 0.002 0.995
Ce3 Ce 0.497 0.497 0.509
Pr1 Pr 0.875 0.875 0.374
Zn1 Zn 0.938 0.438 0.187
Zn2 Zn 0.438 0.937 0.688
Zn3 Zn 0.438 0.438 0.187
Zn4 Zn 0.937 0.937 0.688
Zn5 Zn 0.188 0.188 0.437
Zn6 Zn 0.687 0.687 0.938
Zn7 Zn 0.438 0.938 0.187
Zn8 Zn 0.937 0.438 0.688
# * raw total energy: -3.01 eV per atom
# * symmetry: No. 160
# * offset from the most stable computed form: 0 meV/atom
# * density of states at the Fermi level: 16.98 states/eV/f.u.



# CePrZn4 GGA-PBE relaxed
data_CePrZn4
_symmetry_space_group_name_H-M 'P 1'
_symmetry_Int_Tables_number 1
_cell_length_a 4.214
_cell_length_b 4.214
_cell_length_c 8.253
_cell_angle_alpha 104.79
_cell_angle_beta 104.79
_cell_angle_gamma 90.00
loop_
_symmetry_equiv_pos_as_xyz
'x,y,z'
loop_
_atom_site_label
_atom_site_type_symbol
_atom_site_fract_x
_atom_site_fract_y
_atom_site_fract_z
Ce1 Ce 0.000 0.000 0.000
Pr1 Pr 0.250 0.750 0.500
Zn1 Zn 0.667 0.167 0.334
Zn2 Zn 0.582 0.582 0.164
Zn3 Zn 0.833 0.333 0.666
Zn4 Zn 0.418 0.418 0.836
# * raw total energy: -2.88 eV per atom
# * symmetry: No. 119
# * offset from the most stable computed form: 49 meV/atom
# * density of states at the Fermi level: 10.97 states/eV/f.u.



# CePr2Zn9 GGA-PBE relaxed
data_CePr2Zn9
_symmetry_space_group_name_H-M 'P 1'
_symmetry_Int_Tables_number 1
_cell_length_a 5.525
_cell_length_b 5.525
_cell_length_c 9.362
_cell_angle_alpha 72.84
_cell_angle_beta 72.84
_cell_angle_gamma 60.00
loop_
_symmetry_equiv_pos_as_xyz
'x,y,z'
loop_
_atom_site_label
_atom_site_type_symbol
_atom_site_fract_x
_atom_site_fract_y
_atom_site_fract_z
Ce1 Ce 0.000 0.000 0.000
Pr1 Pr 0.859 0.859 0.424
Pr2 Pr 0.141 0.141 0.576
Zn1 Zn 0.665 0.665 0.004
Zn2 Zn 0.335 0.335 0.996
Zn3 Zn 0.500 0.500 0.500
Zn4 Zn 0.418 0.418 0.242
Zn5 Zn 0.923 0.418 0.242
Zn6 Zn 0.418 0.923 0.242
Zn7 Zn 0.582 0.582 0.758
Zn8 Zn 0.582 0.077 0.758
Zn9 Zn 0.077 0.582 0.758
# * raw total energy: -2.52 eV per atom
# * symmetry: No. 166
# * density of states at the Fermi level: 11.37 states/eV/f.u.



# Ce2PrZn6 GGA-PBE relaxed
data_Ce2PrZn6
_symmetry_space_group_name_H-M 'P 1'
_symmetry_Int_Tables_number 1
_cell_length_a 8.006
_cell_length_b 8.006
_cell_length_c 3.442
_cell_angle_alpha 89.98
_cell_angle_beta 89.98
_cell_angle_gamma 59.98
loop_
_symmetry_equiv_pos_as_xyz
'x,y,z'
loop_
_atom_site_label
_atom_site_type_symbol
_atom_site_fract_x
_atom_site_fract_y
_atom_site_fract_z
Ce1 Ce 0.667 0.667 0.000
Ce2 Ce 0.333 0.333 0.000
Pr1 Pr 0.000 0.000 0.000
Zn1 Zn 0.000 0.665 0.500
Zn2 Zn 0.000 0.335 0.500
Zn3 Zn 0.335 0.000 0.500
Zn4 Zn 0.665 0.335 0.500
Zn5 Zn 0.335 0.665 0.500
Zn6 Zn 0.665 0.000 0.500
# * raw total energy: -2.99 eV per atom
# * symmetry: No. 191
# * density of states at the Fermi level: 14.46 states/eV/f.u.



# Ce2PrZn GGA-PBE relaxed
data_Ce2PrZn
_symmetry_space_group_name_H-M 'P 1'
_symmetry_Int_Tables_number 1
_cell_length_a 5.309
_cell_length_b 5.309
_cell_length_c 5.308
_cell_angle_alpha 60.00
_cell_angle_beta 60.00
_cell_angle_gamma 60.00
loop_
_symmetry_equiv_pos_as_xyz
'x,y,z'
loop_
_atom_site_label
_atom_site_type_symbol
_atom_site_fract_x
_atom_site_fract_y
_atom_site_fract_z
Pr1 Pr 0.000 0.000 0.000
Zn1 Zn 0.500 0.500 0.500
Ce1 Ce 0.750 0.750 0.750
Ce2 Ce 0.250 0.250 0.250
# * raw total energy: -4.34 eV per atom
# * symmetry: No. 225
# * offset from the most stable computed form: 155 meV/atom
# * density of states at the Fermi level: 12.04 states/eV/f.u.



# CePrZn4 GGA-PBE relaxed
data_CePrZn4
_symmetry_space_group_name_H-M 'P 1'
_symmetry_Int_Tables_number 1
_cell_length_a 5.554
_cell_length_b 5.554
_cell_length_c 5.554
_cell_angle_alpha 60.00
_cell_angle_beta 60.00
_cell_angle_gamma 60.00
loop_
_symmetry_equiv_pos_as_xyz
'x,y,z'
loop_
_atom_site_label
_atom_site_type_symbol
_atom_site_fract_x
_atom_site_fract_y
_atom_site_fract_z
Pr1 Pr 0.000 0.000 0.000
Zn1 Zn 0.625 0.625 0.124
Zn2 Zn 0.625 0.124 0.625
Zn3 Zn 0.625 0.625 0.625
Zn4 Zn 0.124 0.625 0.625
Ce1 Ce 0.250 0.250 0.250
# * raw total energy: -2.93 eV per atom
# * symmetry: No. 216
# * offset from the most stable computed form: 0 meV/atom
# * density of states at the Fermi level: 4.95 states/eV/f.u.



# Ce3PrZn4 GGA-PBE relaxed
data_Ce3PrZn4
_symmetry_space_group_name_H-M 'P 1'
_symmetry_Int_Tables_number 1
_cell_length_a 5.152
_cell_length_b 7.313
_cell_length_c 10.300
_cell_angle_alpha 90.00
_cell_angle_beta 90.00
_cell_angle_gamma 90.00
loop_
_symmetry_equiv_pos_as_xyz
'x,y,z'
loop_
_atom_site_label
_atom_site_type_symbol
_atom_site_fract_x
_atom_site_fract_y
_atom_site_fract_z
Pr1 Pr 0.000 0.500 0.000
Pr2 Pr 0.000 0.500 0.500
Zn1 Zn 0.500 0.753 0.000
Zn2 Zn 0.500 0.753 0.500
Zn3 Zn 0.500 0.247 0.000
Zn4 Zn 0.500 0.247 0.500
Zn5 Zn 0.002 0.753 0.750
Zn6 Zn 0.998 0.753 0.250
Zn7 Zn 0.998 0.247 0.250
Zn8 Zn 0.002 0.247 0.750
Ce1 Ce 0.000 0.000 0.000
Ce2 Ce 0.000 0.000 0.500
Ce3 Ce 0.501 0.000 0.750
Ce4 Ce 0.499 0.000 0.250
Ce5 Ce 0.501 0.500 0.750
Ce6 Ce 0.499 0.500 0.250
# * raw total energy: -3.66 eV per atom
# * symmetry: No. 51
# * density of states at the Fermi level: 20.11 states/eV/f.u.



# Ce2PrZn GGA-PBE relaxed
data_Ce2PrZn
_symmetry_space_group_name_H-M 'P 1'
_symmetry_Int_Tables_number 1
_cell_length_a 5.022
_cell_length_b 4.603
_cell_length_c 4.603
_cell_angle_alpha 90.00
_cell_angle_beta 90.00
_cell_angle_gamma 90.00
loop_
_symmetry_equiv_pos_as_xyz
'x,y,z'
loop_
_atom_site_label
_atom_site_type_symbol
_atom_site_fract_x
_atom_site_fract_y
_atom_site_fract_z
Pr1 Pr 0.500 0.500 0.500
Zn1 Zn 0.500 0.000 0.000
Ce1 Ce 0.000 0.000 0.500
Ce2 Ce 0.000 0.500 0.000
# * raw total energy: -4.47 eV per atom
# * symmetry: No. 123
# * offset from the most stable computed form: 26 meV/atom
# * density of states at the Fermi level: 10.85 states/eV/f.u.



# CePrZr2 GGA-PBE relaxed
data_CePrZr2
_symmetry_space_group_name_H-M 'P 1'
_symmetry_Int_Tables_number 1
_cell_length_a 3.930
_cell_length_b 3.930
_cell_length_c 7.118
_cell_angle_alpha 90.00
_cell_angle_beta 90.00
_cell_angle_gamma 90.00
loop_
_symmetry_equiv_pos_as_xyz
'x,y,z'
loop_
_atom_site_label
_atom_site_type_symbol
_atom_site_fract_x
_atom_site_fract_y
_atom_site_fract_z
Pr1 Pr 0.500 0.500 0.500
Zr1 Zr 0.000 0.000 0.791
Zr2 Zr 0.000 0.000 0.209
Ce1 Ce 0.500 0.500 0.000
# * raw total energy: -6.76 eV per atom
# * symmetry: No. 123
# * offset from the most stable computed form: 0 meV/atom
# * density of states at the Fermi level: 6.20 states/eV/f.u.